# Al2Ir

A geometry-optimized Al2Ir structure (GGA-PBE, the Open Quantum Materials Database).

POSCAR file:
```
Al2Ir
1.0
8.529 -12.972 0.000
8.529 12.972 0.000
0.000 0.000 3.825
Al Ir
36 18
Direct
0.000 0.500 0.500
0.039 0.798 0.500
0.051 0.949 0.000
0.084 0.664 0.000
0.112 0.112 0.500
0.149 0.470 0.000
0.182 0.336 0.500
0.202 0.961 0.500
0.222 0.778 0.500
0.235 0.235 0.000
0.298 0.536 0.500
0.306 0.694 0.000
0.336 0.182 0.500
0.336 0.916 0.000
0.408 0.408 0.500
0.435 0.565 0.000
0.464 0.702 0.500
0.470 0.149 0.000
0.500 0.000 0.500
0.530 0.851 0.000
0.536 0.298 0.500
0.565 0.435 0.000
0.592 0.592 0.500
0.664 0.084 0.000
0.664 0.818 0.500
0.694 0.306 0.000
0.702 0.464 0.500
0.765 0.765 0.000
0.778 0.222 0.500
0.798 0.039 0.500
0.818 0.664 0.500
0.851 0.530 0.000
0.888 0.888 0.500
0.916 0.336 0.000
0.949 0.051 0.000
0.961 0.202 0.500
0.043 0.372 0.500
0.071 0.226 0.000
0.153 0.847 0.000
0.170 0.601 0.500
0.226 0.071 0.000
0.296 0.416 0.000
0.372 0.043 0.500
0.399 0.830 0.500
0.416 0.296 0.000
0.584 0.704 0.000
0.601 0.170 0.500
0.628 0.957 0.500
0.704 0.584 0.000
0.774 0.929 0.000
0.830 0.399 0.500
0.847 0.153 0.000
0.929 0.774 0.000
0.957 0.628 0.500
```

space-group type = Cmmm, No. 65
calculated volume = 47 Å³/f.u.
electronic total energy = -6.0457 eV/atom

# LaAl3Ir

A geometry-optimized LaAl3Ir structure (GGA-PBE, the Open Quantum Materials Database).

POSCAR file:
```
LaAl3Ir
1.0
4.323 0.000 0.000
0.000 4.323 0.000
0.000 0.000 10.899
La Al Ir
2 6 2
Direct
0.000 0.000 0.000
0.500 0.500 0.500
0.000 0.000 0.407
0.000 0.500 0.250
0.000 0.500 0.750
0.500 0.000 0.250
0.500 0.000 0.750
0.500 0.500 0.907
0.000 0.000 0.633
0.500 0.500 0.133
```

space-group type = I4mm, No. 107
calculated volume = 102 Å³/f.u.
electronic total energy = -5.6987 eV/atom

# La2AlIr2

A geometry-optimized La2AlIr2 structure (GGA-PBE, the Open Quantum Materials Database).

POSCAR file:
```
La2AlIr2
1.0
7.342 0.000 0.000
0.000 7.342 0.000
0.000 0.000 4.219
La Al Ir
4 2 4
Direct
0.173 0.327 0.000
0.327 0.827 0.000
0.673 0.173 0.000
0.827 0.673 0.000
0.000 0.000 0.500
0.500 0.500 0.500
0.138 0.638 0.500
0.362 0.138 0.500
0.638 0.862 0.500
0.862 0.362 0.500
```

space-group type = P4/mbm, No. 127
calculated volume = 114 Å³/f.u.
electronic total energy = -6.8988 eV/atom

# LaAl5NiIr

A geometry-optimized LaAl5NiIr structure (GGA-PBE, the Open Quantum Materials Database).

POSCAR file:
```
LaAl5NiIr
1.0
4.071 0.000 0.000
0.000 7.182 0.000
0.000 0.000 9.839
La Al Ni Ir
2 10 2 2
Direct
0.000 0.000 0.000
0.500 0.500 0.500
0.000 0.186 0.338
0.000 0.193 0.655
0.000 0.500 0.988
0.000 0.807 0.655
0.000 0.814 0.338
0.500 0.000 0.488
0.500 0.307 0.155
0.500 0.314 0.838
0.500 0.686 0.838
0.500 0.693 0.155
0.000 0.500 0.756
0.500 0.000 0.256
0.000 0.500 0.232
0.500 0.000 0.732
```

space-group type = Imm2, No. 44
calculated volume = 144 Å³/f.u.
electronic total energy = -5.4608 eV/atom

# LaPrAlIr2

A geometry-optimized LaPrAlIr2 structure (GGA-PBE, the Open Quantum Materials Database).

POSCAR file:
```
LaPrAlIr2
1.0
4.188 0.000 0.000
0.000 5.934 0.000
0.000 0.000 9.004
La Pr Al Ir
2 2 2 4
Direct
0.000 0.000 0.000
0.500 0.500 0.500
0.000 0.000 0.604
0.500 0.500 0.104
0.000 0.500 0.801
0.500 0.000 0.301
0.000 0.255 0.301
0.000 0.745 0.301
0.500 0.245 0.801
0.500 0.755 0.801
```

space-group type = Imm2, No. 44
calculated volume = 112 Å³/f.u.
electronic total energy = -7.0098 eV/atom

# LaAl5IrPt

A geometry-optimized LaAl5IrPt structure (GGA-PBE, the Open Quantum Materials Database).

POSCAR file:
```
LaAl5IrPt
1.0
4.129 0.000 0.000
0.000 7.316 0.000
0.000 0.000 9.974
La Al Ir Pt
2 10 2 2
Direct
0.000 0.000 0.000
0.500 0.500 0.500
0.000 0.187 0.342
0.000 0.192 0.653
0.000 0.500 0.999
0.000 0.808 0.653
0.000 0.813 0.342
0.500 0.000 0.499
0.500 0.308 0.153
0.500 0.313 0.842
0.500 0.687 0.842
0.500 0.692 0.153
0.000 0.500 0.761
0.500 0.000 0.261
0.000 0.500 0.240
0.500 0.000 0.740
```

space-group type = Imm2, No. 44
calculated volume = 151 Å³/f.u.
electronic total energy = -5.6689 eV/atom

# LaSmAlIr2

A geometry-optimized LaSmAlIr2 structure (GGA-PBE, the Open Quantum Materials Database).

POSCAR file:
```
LaSmAlIr2
1.0
4.175 0.000 0.000
0.000 5.902 0.000
0.000 0.000 8.865
La Sm Al Ir
2 2 2 4
Direct
0.000 0.000 0.000
0.500 0.500 0.500
0.000 0.000 0.603
0.500 0.500 0.103
0.000 0.500 0.801
0.500 0.000 0.301
0.000 0.256 0.300
0.000 0.744 0.300
0.500 0.244 0.800
0.500 0.756 0.800
```

space-group type = Imm2, No. 44
calculated volume = 109 Å³/f.u.
electronic total energy = -7.0386 eV/atom

# LaTbAl4Ir2

A geometry-optimized LaTbAl4Ir2 structure (GGA-PBE, the Open Quantum Materials Database).

POSCAR file:
```
LaTbAl4Ir2
1.0
5.965 0.000 0.000
0.000 3.811 0.000
0.000 0.000 20.882
La Tb Al Ir
2 2 8 4
Direct
0.000 0.000 0.000
0.000 0.500 0.500
0.000 0.000 0.341
0.000 0.500 0.841
0.275 0.000 0.624
0.275 0.500 0.124
0.284 0.000 0.222
0.284 0.500 0.722
0.716 0.000 0.222
0.716 0.500 0.722
0.725 0.000 0.624
0.725 0.500 0.124
0.000 0.000 0.126
0.000 0.000 0.742
0.000 0.500 0.242
0.000 0.500 0.626
```

space-group type = Amm2, No. 38
calculated volume = 237 Å³/f.u.
electronic total energy = -5.3643 eV/atom